*one*
# ScZnNiPd | the Open Quantum Materials Database | PBE-GGA | relaxed
data_ScZnNiPd
_chemical_formula_sum 'Sc1 Zn1 Ni1 Pd1'
_space_group_name_H-M_alt 'P 1'
_space_group_IT_number 1
_space_group_name_Hall 'P 1'
_cell_length_a 4.4008
_cell_length_b 4.4008
_cell_length_c 4.4008
_cell_angle_alpha 60.00
_cell_angle_beta 60.00
_cell_angle_gamma 60.00
loop_
_atom_site_label
_atom_site_type_symbol
_atom_site_fract_x
_atom_site_fract_y
_atom_site_fract_z
Pd1 Pd 0.2500 0.2500 0.2500
Zn1 Zn 0.0000 0.0000 0.0000
Ni1 Ni 0.7500 0.7500 0.7500
Sc1 Sc 0.5000 0.5000 0.5000
# SG: F-43m

***

*two*
# ScZnNiPd | the Open Quantum Materials Database | PBE-GGA | relaxed
data_ScZnNiPd
_chemical_formula_sum 'Sc1 Zn1 Ni1 Pd1'
_space_group_name_H-M_alt 'P 1'
_space_group_IT_number 1
_space_group_name_Hall 'P 1'
_cell_length_a 4.4331
_cell_length_b 4.4331
_cell_length_c 4.4331
_cell_angle_alpha 60.00
_cell_angle_beta 60.00
_cell_angle_gamma 60.00
loop_
_atom_site_label
_atom_site_type_symbol
_atom_site_fract_x
_atom_site_fract_y
_atom_site_fract_z
Pd1 Pd 0.5000 0.5000 0.5000
Ni1 Ni 0.7500 0.7500 0.7500
Zn1 Zn 0.0000 0.0000 0.0000
Sc1 Sc 0.2500 0.2500 0.2500
# SG: F-43m

***

Least stable of them? *two*.

***

*one*
# TaNiSnPd | the Open Quantum Materials Database | PBE-GGA | relaxed
data_TaNiSnPd
_chemical_formula_sum 'Ta1 Ni1 Sn1 Pd1'
_space_group_name_H-M_alt 'P 1'
_space_group_IT_number 1
_space_group_name_Hall 'P 1'
_cell_length_a 4.5085
_cell_length_b 4.5085
_cell_length_c 4.5085
_cell_angle_alpha 60.00
_cell_angle_beta 60.00
_cell_angle_gamma 60.00
loop_
_atom_site_label
_atom_site_type_symbol
_atom_site_fract_x
_atom_site_fract_y
_atom_site_fract_z
Ta1 Ta 0.5000 0.5000 0.5000
Pd1 Pd 0.2500 0.2500 0.2500
Ni1 Ni 0.7500 0.7500 0.7500
Sn1 Sn 0.0000 0.0000 0.0000
# SG: F-43m

***

*two*
# TaNiSnPd | the Open Quantum Materials Database | PBE-GGA | relaxed
data_TaNiSnPd
_chemical_formula_sum 'Ta1 Ni1 Sn1 Pd1'
_space_group_name_H-M_alt 'P 1'
_space_group_IT_number 1
_space_group_name_Hall 'P 1'
_cell_length_a 4.5246
_cell_length_b 4.5246
_cell_length_c 4.5246
_cell_angle_alpha 60.00
_cell_angle_beta 60.00
_cell_angle_gamma 60.00
loop_
_atom_site_label
_atom_site_type_symbol
_atom_site_fract_x
_atom_site_fract_y
_atom_site_fract_z
Ta1 Ta 0.2500 0.2500 0.2500
Pd1 Pd 0.5000 0.5000 0.5000
Ni1 Ni 0.7500 0.7500 0.7500
Sn1 Sn 0.0000 0.0000 0.0000
# SG: F-43m

***

Least stable of them? *two*.

***

*one*
# TaTlNiPd | the Open Quantum Materials Database | PBE-GGA | relaxed
data_TaTlNiPd
_chemical_formula_sum 'Ta1 Tl1 Ni1 Pd1'
_space_group_name_H-M_alt 'P 1'
_space_group_IT_number 1
_space_group_name_Hall 'P 1'
_cell_length_a 4.5387
_cell_length_b 4.5387
_cell_length_c 4.5387
_cell_angle_alpha 60.00
_cell_angle_beta 60.00
_cell_angle_gamma 60.00
loop_
_atom_site_label
_atom_site_type_symbol
_atom_site_fract_x
_atom_site_fract_y
_atom_site_fract_z
Pd1 Pd 0.2500 0.2500 0.2500
Ta1 Ta 0.5000 0.5000 0.5000
Tl1 Tl 0.0000 0.0000 0.0000
Ni1 Ni 0.7500 0.7500 0.7500
# SG: F-43m

***

*two*
# TaTlNiPd | the Open Quantum Materials Database | PBE-GGA | relaxed
data_TaTlNiPd
_chemical_formula_sum 'Ta1 Tl1 Ni1 Pd1'
_space_group_name_H-M_alt 'P 1'
_space_group_IT_number 1
_space_group_name_Hall 'P 1'
_cell_length_a 4.5520
_cell_length_b 4.5520
_cell_length_c 4.5520
_cell_angle_alpha 60.00
_cell_angle_beta 60.00
_cell_angle_gamma 60.00
loop_
_atom_site_label
_atom_site_type_symbol
_atom_site_fract_x
_atom_site_fract_y
_atom_site_fract_z
Ta1 Ta 0.2500 0.2500 0.2500
Pd1 Pd 0.5000 0.5000 0.5000
Tl1 Tl 0.0000 0.0000 0.0000
Ni1 Ni 0.7500 0.7500 0.7500
# SG: F-43m

***

Least stable of them? *two*.

***

*one*
# Tm2NiPd | the Open Quantum Materials Database | PBE-GGA | relaxed
data_Tm2NiPd
_chemical_formula_sum 'Tm4 Ni2 Pd2'
_space_group_name_H-M_alt 'P 1'
_space_group_IT_number 1
_space_group_name_Hall 'P 1'
_cell_length_a 4.3142
_cell_length_b 5.4525
_cell_length_c 6.8902
_cell_angle_alpha 90.00
_cell_angle_beta 90.00
_cell_angle_gamma 90.00
loop_
_atom_site_label
_atom_site_type_symbol
_atom_site_fract_x
_atom_site_fract_y
_atom_site_fract_z
Pd1 Pd 0.5000 0.6077 0.5388
Tm1 Tm 0.5000 0.8919 0.1821
Tm2 Tm 0.5000 0.1081 0.6821
Ni1 Ni 0.0000 0.8963 0.4578
Pd2 Pd 0.5000 0.3923 0.0388
Ni2 Ni 0.0000 0.1037 0.9578
Tm3 Tm 0.0000 0.3798 0.3213
Tm4 Tm 0.0000 0.6202 0.8213
# SG: Pmc2_1

***

*two*
# Tm2NiPd | the Open Quantum Materials Database | PBE-GGA | relaxed
data_Tm2NiPd
_chemical_formula_sum 'Tm4 Ni2 Pd2'
_space_group_name_H-M_alt 'P 1'
_space_group_IT_number 1
_space_group_name_Hall 'P 1'
_cell_length_a 5.4186
_cell_length_b 4.3605
_cell_length_c 6.8944
_cell_angle_alpha 90.00
_cell_angle_beta 90.83
_cell_angle_gamma 90.00
loop_
_atom_site_label
_atom_site_type_symbol
_atom_site_fract_x
_atom_site_fract_y
_atom_site_fract_z
Pd1 Pd 0.1571 0.2500 0.9547
Tm1 Tm 0.1417 0.7500 0.6730
Ni1 Ni 0.6330 0.7500 0.5350
Ni2 Ni 0.3670 0.2500 0.4650
Tm2 Tm 0.6410 0.2500 0.8078
Pd2 Pd 0.8429 0.7500 0.0453
Tm3 Tm 0.8583 0.2500 0.3270
Tm4 Tm 0.3590 0.7500 0.1922
# SG: P2_1/m

***

Least stable of them? *one*.

***

*one*
# ZnNiPd | the Open Quantum Materials Database | PBE-GGA | relaxed
data_ZnNiPd
_chemical_formula_sum 'Zn1 Ni1 Pd1'
_space_group_name_H-M_alt 'P 1'
_space_group_IT_number 1
_space_group_name_Hall 'P 1'
_cell_length_a 4.0268
_cell_length_b 4.0268
_cell_length_c 4.0268
_cell_angle_alpha 60.00
_cell_angle_beta 60.00
_cell_angle_gamma 60.00
loop_
_atom_site_label
_atom_site_type_symbol
_atom_site_fract_x
_atom_site_fract_y
_atom_site_fract_z
Pd1 Pd 0.2500 0.2500 0.2500
Zn1 Zn 0.7500 0.7500 0.7500
Ni1 Ni 0.0000 0.0000 0.0000
# SG: F-43m

***

*two*
# ZnNiPd | the Open Quantum Materials Database | PBE-GGA | relaxed
data_ZnNiPd
_chemical_formula_sum 'Zn1 Ni1 Pd1'
_space_group_name_H-M_alt 'P 1'
_space_group_IT_number 1
_space_group_name_Hall 'P 1'
_cell_length_a 4.0934
_cell_length_b 4.0934
_cell_length_c 4.0934
_cell_angle_alpha 60.00
_cell_angle_beta 60.00
_cell_angle_gamma 60.00
loop_
_atom_site_label
_atom_site_type_symbol
_atom_site_fract_x
_atom_site_fract_y
_atom_site_fract_z
Pd1 Pd 0.0000 0.0000 0.0000
Zn1 Zn 0.7500 0.7500 0.7500
Ni1 Ni 0.2500 0.2500 0.2500
# SG: F-43m

***

Least stable of them? *two*.

***

*one*
# Pm3Ni | the Open Quantum Materials Database | PBE-GGA | relaxed
data_Pm3Ni
_chemical_formula_sum 'Pm3 Ni1'
_space_group_name_H-M_alt 'P 1'
_space_group_IT_number 1
_space_group_name_Hall 'P 1'
_cell_length_a 4.7734
_cell_length_b 4.7734
_cell_length_c 4.7734
_cell_angle_alpha 90.00
_cell_angle_beta 90.00
_cell_angle_gamma 90.00
loop_
_atom_site_label
_atom_site_type_symbol
_atom_site_fract_x
_atom_site_fract_y
_atom_site_fract_z
Pm1 Pm 0.5000 0.0000 0.5000
Ni1 Ni 0.0000 0.0000 0.0000
Pm2 Pm 0.0000 0.5000 0.5000
Pm3 Pm 0.5000 0.5000 0.0000
# SG: Pm-3m

***

*two*
# Pm3Ni | the Open Quantum Materials Database | PBE-GGA | relaxed
data_Pm3Ni
_chemical_formula_sum 'Pm3 Ni1'
_space_group_name_H-M_alt 'P 1'
_space_group_IT_number 1
_space_group_name_Hall 'P 1'
_cell_length_a 5.2656
_cell_length_b 5.2656
_cell_length_c 5.2656
_cell_angle_alpha 60.00
_cell_angle_beta 60.00
_cell_angle_gamma 60.00
loop_
_atom_site_label
_atom_site_type_symbol
_atom_site_fract_x
_atom_site_fract_y
_atom_site_fract_z
Pm1 Pm 0.0000 0.0000 0.0000
Pm2 Pm 0.5000 0.5000 0.5000
Pm3 Pm 0.2500 0.2500 0.2500
Ni1 Ni 0.7500 0.7500 0.7500
# SG: Fm-3m

***

Least stable of them? *two*.

***

*one*
# Pm2Ni | the Open Quantum Materials Database | PBE-GGA | relaxed
data_Pm2Ni
_chemical_formula_sum 'Pm4 Ni2'
_space_group_name_H-M_alt 'P 1'
_space_group_IT_number 1
_space_group_name_Hall 'P 1'
_cell_length_a 6.1051
_cell_length_b 6.1051
_cell_length_c 6.1051
_cell_angle_alpha 60.00
_cell_angle_beta 60.00
_cell_angle_gamma 60.00
loop_
_atom_site_label
_atom_site_type_symbol
_atom_site_fract_x
_atom_site_fract_y
_atom_site_fract_z
Ni1 Ni 0.2500 0.2500 0.2500
Pm1 Pm 0.6250 0.6250 0.1250
Ni2 Ni 0.0000 0.0000 0.0000
Pm2 Pm 0.6250 0.1250 0.6250
Pm3 Pm 0.1250 0.6250 0.6250
Pm4 Pm 0.6250 0.6250 0.6250
# SG: Fd-3m

***

*two*
# Pm2Ni | the Open Quantum Materials Database | PBE-GGA | relaxed
data_Pm2Ni
_chemical_formula_sum 'Pm4 Ni2'
_space_group_name_H-M_alt 'P 1'
_space_group_IT_number 1
_space_group_name_Hall 'P 1'
_cell_length_a 8.3013
_cell_length_b 8.3013
_cell_length_c 8.3013
_cell_angle_alpha 60.00
_cell_angle_beta 60.00
_cell_angle_gamma 60.00
loop_
_atom_site_label
_atom_site_type_symbol
_atom_site_fract_x
_atom_site_fract_y
_atom_site_fract_z
Ni1 Ni 0.2500 0.2500 0.2500
Pm1 Pm 0.3750 0.3750 0.3750
Pm2 Pm 0.3750 0.8750 0.3750
Pm3 Pm 0.8750 0.3750 0.3750
Ni2 Ni 0.5000 0.5000 0.5000
Pm4 Pm 0.3750 0.3750 0.8750
# SG: Fd-3m

***

Least stable of them? *two*.

***

*one*
# PmNi2 | the Open Quantum Materials Database | PBE-GGA | relaxed
data_PmNi2
_chemical_formula_sum 'Pm2 Ni4'
_space_group_name_H-M_alt 'P 1'
_space_group_IT_number 1
_space_group_name_Hall 'P 1'
_cell_length_a 8.5101
_cell_length_b 8.5101
_cell_length_c 8.5101
_cell_angle_alpha 60.00
_cell_angle_beta 60.00
_cell_angle_gamma 60.00
loop_
_atom_site_label
_atom_site_type_symbol
_atom_site_fract_x
_atom_site_fract_y
_atom_site_fract_z
Ni1 Ni 0.3750 0.3750 0.8750
Pm1 Pm 0.2500 0.2500 0.2500
Ni2 Ni 0.8750 0.3750 0.3750
Pm2 Pm 0.5000 0.5000 0.5000
Ni3 Ni 0.3750 0.3750 0.3750
Ni4 Ni 0.3750 0.8750 0.3750
# SG: Fd-3m

***

*two*
# PmNi2 | the Open Quantum Materials Database | PBE-GGA | relaxed
data_PmNi2
_chemical_formula_sum 'Pm2 Ni4'
_space_group_name_H-M_alt 'P 1'
_space_group_IT_number 1
_space_group_name_Hall 'P 1'
_cell_length_a 5.0288
_cell_length_b 5.0288
_cell_length_c 4.9834
_cell_angle_alpha 90.00
_cell_angle_beta 90.00
_cell_angle_gamma 90.00
loop_
_atom_site_label
_atom_site_type_symbol
_atom_site_fract_x
_atom_site_fract_y
_atom_site_fract_z
Ni1 Ni 0.3437 0.3437 0.0000
Ni2 Ni 0.6563 0.6563 0.0000
Pm1 Pm 0.0000 0.0000 0.0000
Pm2 Pm 0.5000 0.5000 0.5000
Ni3 Ni 0.1563 0.8437 0.5000
Ni4 Ni 0.8437 0.1563 0.5000
# SG: P4_2/mnm

***

Least stable of them? *one*.

***

*one*
# PmTcNi | the Open Quantum Materials Database | PBE-GGA | relaxed
data_PmTcNi
_chemical_formula_sum 'Pm1 Tc1 Ni1'
_space_group_name_H-M_alt 'P 1'
_space_group_IT_number 1
_space_group_name_Hall 'P 1'
_cell_length_a 4.4860
_cell_length_b 4.4860
_cell_length_c 4.4860
_cell_angle_alpha 60.00
_cell_angle_beta 60.00
_cell_angle_gamma 60.00
loop_
_atom_site_label
_atom_site_type_symbol
_atom_site_fract_x
_atom_site_fract_y
_atom_site_fract_z
Tc1 Tc 0.2500 0.2500 0.2500
Pm1 Pm 0.5000 0.5000 0.5000
Ni1 Ni 0.7500 0.7500 0.7500
# SG: F-43m

***

*two*
# PmTcNi | the Open Quantum Materials Database | PBE-GGA | relaxed
data_PmTcNi
_chemical_formula_sum 'Pm1 Tc1 Ni1'
_space_group_name_H-M_alt 'P 1'
_space_group_IT_number 1
_space_group_name_Hall 'P 1'
_cell_length_a 4.4364
_cell_length_b 4.4364
_cell_length_c 4.4364
_cell_angle_alpha 60.00
_cell_angle_beta 60.00
_cell_angle_gamma 60.00
loop_
_atom_site_label
_atom_site_type_symbol
_atom_site_fract_x
_atom_site_fract_y
_atom_site_fract_z
Ni1 Ni 0.0000 0.0000 0.0000
Tc1 Tc 0.7500 0.7500 0.7500
Pm1 Pm 0.2500 0.2500 0.2500
# SG: F-43m

***

Least stable of them? *one*.

***

*one*
# PmTlNi | the Open Quantum Materials Database | PBE-GGA | relaxed
data_PmTlNi
_chemical_formula_sum 'Pm1 Tl1 Ni1'
_space_group_name_H-M_alt 'P 1'
_space_group_IT_number 1
_space_group_name_Hall 'P 1'
_cell_length_a 4.6900
_cell_length_b 4.6900
_cell_length_c 4.6900
_cell_angle_alpha 60.00
_cell_angle_beta 60.00
_cell_angle_gamma 60.00
loop_
_atom_site_label
_atom_site_type_symbol
_atom_site_fract_x
_atom_site_fract_y
_atom_site_fract_z
Tl1 Tl 0.7500 0.7500 0.7500
Pm1 Pm 0.2500 0.2500 0.2500
Ni1 Ni 0.0000 0.0000 0.0000
# SG: F-43m

***

*two*
# PmTlNi | the Open Quantum Materials Database | PBE-GGA | relaxed
data_PmTlNi
_chemical_formula_sum 'Pm1 Tl1 Ni1'
_space_group_name_H-M_alt 'P 1'
_space_group_IT_number 1
_space_group_name_Hall 'P 1'
_cell_length_a 4.8901
_cell_length_b 4.8901
_cell_length_c 4.8901
_cell_angle_alpha 60.00
_cell_angle_beta 60.00
_cell_angle_gamma 60.00
loop_
_atom_site_label
_atom_site_type_symbol
_atom_site_fract_x
_atom_site_fract_y
_atom_site_fract_z
Pm1 Pm 0.0000 0.0000 0.0000
Tl1 Tl 0.7500 0.7500 0.7500
Ni1 Ni 0.2500 0.2500 0.2500
# SG: F-43m

***

Least stable of them? *two*.

***

*one*
# PrReNi | the Open Quantum Materials Database | PBE-GGA | relaxed
data_PrReNi
_chemical_formula_sum 'Pr1 Re1 Ni1'
_space_group_name_H-M_alt 'P 1'
_space_group_IT_number 1
_space_group_name_Hall 'P 1'
_cell_length_a 4.4786
_cell_length_b 4.4786
_cell_length_c 4.4786
_cell_angle_alpha 60.00
_cell_angle_beta 60.00
_cell_angle_gamma 60.00
loop_
_atom_site_label
_atom_site_type_symbol
_atom_site_fract_x
_atom_site_fract_y
_atom_site_fract_z
Ni1 Ni 0.0000 0.0000 0.0000
Pr1 Pr 0.2500 0.2500 0.2500
Re1 Re 0.7500 0.7500 0.7500
# SG: F-43m

***

*two*
# PrReNi | the Open Quantum Materials Database | PBE-GGA | relaxed
data_PrReNi
_chemical_formula_sum 'Pr1 Re1 Ni1'
_space_group_name_H-M_alt 'P 1'
_space_group_IT_number 1
_space_group_name_Hall 'P 1'
_cell_length_a 4.5967
_cell_length_b 4.5967
_cell_length_c 4.5967
_cell_angle_alpha 60.00
_cell_angle_beta 60.00
_cell_angle_gamma 60.00
loop_
_atom_site_label
_atom_site_type_symbol
_atom_site_fract_x
_atom_site_fract_y
_atom_site_fract_z
Re1 Re 0.7500 0.7500 0.7500
Pr1 Pr 0.0000 0.0000 0.0000
Ni1 Ni 0.2500 0.2500 0.2500
# SG: F-43m

***

Least stable of them? *two*.

***

*one*
# PrNi2SnSb | the Open Quantum Materials Database | PBE-GGA | relaxed
data_PrNi2SnSb
_chemical_formula_sum 'Pr2 Ni4 Sn2 Sb2'
_space_group_name_H-M_alt 'P 1'
_space_group_IT_number 1
_space_group_name_Hall 'P 1'
_cell_length_a 4.5128
_cell_length_b 4.5128
_cell_length_c 9.9536
_cell_angle_alpha 90.00
_cell_angle_beta 90.00
_cell_angle_gamma 90.00
loop_
_atom_site_label
_atom_site_type_symbol
_atom_site_fract_x
_atom_site_fract_y
_atom_site_fract_z
Sn1 Sn 0.0000 0.5000 0.8761
Sn2 Sn 0.5000 0.0000 0.1239
Sb1 Sb 0.5000 0.5000 0.5000
Pr1 Pr 0.0000 0.5000 0.2391
Ni1 Ni 0.5000 0.5000 0.0000
Ni2 Ni 0.5000 0.0000 0.3798
Ni3 Ni 0.0000 0.5000 0.6202
Pr2 Pr 0.5000 0.0000 0.7609
Ni4 Ni 0.0000 0.0000 0.0000
Sb2 Sb 0.0000 0.0000 0.5000
# SG: P4/nmm

***

*two*
# PrNi2SnSb | the Open Quantum Materials Database | PBE-GGA | relaxed
data_PrNi2SnSb
_chemical_formula_sum 'Pr2 Ni4 Sn2 Sb2'
_space_group_name_H-M_alt 'P 1'
_space_group_IT_number 1
_space_group_name_Hall 'P 1'
_cell_length_a 4.4034
_cell_length_b 4.4034
_cell_length_c 10.3194
_cell_angle_alpha 90.00
_cell_angle_beta 90.00
_cell_angle_gamma 90.00
loop_
_atom_site_label
_atom_site_type_symbol
_atom_site_fract_x
_atom_site_fract_y
_atom_site_fract_z
Pr1 Pr 0.0000 0.5000 0.2396
Ni1 Ni 0.5000 0.5000 0.0000
Sb1 Sb 0.5000 0.0000 0.1269
Sn1 Sn 0.5000 0.5000 0.5000
Sb2 Sb 0.0000 0.5000 0.8731
Pr2 Pr 0.5000 0.0000 0.7604
Ni2 Ni 0.0000 0.0000 0.0000
Ni3 Ni 0.0000 0.5000 0.6305
Ni4 Ni 0.5000 0.0000 0.3695
Sn2 Sn 0.0000 0.0000 0.5000
# SG: P4/nmm

***

Least stable of them? *one*.